! MnIrS2 (PBE, relaxed); values from VASP
&SYSTEM
  ibrav = 0, nat = 4, ntyp = 3
/
ATOMIC_SPECIES
Mn 54.94 Mn.upf
Ir 192.22 Ir.upf
S 32.06 S.upf
CELL_PARAMETERS angstrom
0.000 2.956 2.956
2.956 0.000 2.956
2.956 2.956 0.000
ATOMIC_POSITIONS angstrom
Mn 0.000 0.000 0.000
Ir 2.956 2.956 2.956
S 1.478 1.478 1.478
S 4.434 4.434 4.434
! formation energy from raw total energies = 142.3 kJ/mol of formula units
! space group = Fm-3m


! NdInIrAu (PBE, relaxed); values from VASP
&SYSTEM
  ibrav = 0, nat = 4, ntyp = 4
/
ATOMIC_SPECIES
Nd 144.24 Nd.upf
In 114.82 In.upf
Ir 192.22 Ir.upf
Au 196.97 Au.upf
CELL_PARAMETERS angstrom
0.000 3.493 3.493
3.493 0.000 3.493
3.493 3.493 0.000
ATOMIC_POSITIONS angstrom
Nd 0.000 0.000 0.000
In 3.493 3.493 3.493
Ir 5.239 5.239 5.239
Au 1.746 1.746 1.746
! DFT formation energy = -0.4021 eV per atom
! space group = F-43m


! BeCoTe2 (PBE, relaxed); values from VASP
&SYSTEM
  ibrav = 0, nat = 4, ntyp = 3
/
ATOMIC_SPECIES
Be 9.01 Be.upf
Co 58.93 Co.upf
Te 127.60 Te.upf
CELL_PARAMETERS angstrom
-1.739 1.864 6.447
1.739 -1.864 6.447
1.739 1.864 -6.447
ATOMIC_POSITIONS angstrom
Be 0.000 0.000 0.000
Co 1.739 0.000 5.445
Te 0.000 0.000 7.355
Te 0.000 1.864 4.258
! formation energy from raw total energies = 53.7 kJ/mol of formula units
! space group = Imm2


! ErLuMgHg (PBE, relaxed); values from VASP
&SYSTEM
  ibrav = 0, nat = 4, ntyp = 4
/
ATOMIC_SPECIES
Er 167.26 Er.upf
Lu 174.97 Lu.upf
Mg 24.30 Mg.upf
Hg 200.59 Hg.upf
CELL_PARAMETERS angstrom
0.000 3.693 3.693
3.693 0.000 3.693
3.693 3.693 0.000
ATOMIC_POSITIONS angstrom
Er 0.000 0.000 0.000
Lu 3.693 3.693 3.693
Mg 1.846 1.846 1.846
Hg 5.539 5.539 5.539
! DFT formation energy = -0.2481 eV per atom
! space group = F-43m


! NdSmAl2Pd5 (PBE, relaxed); values from VASP
&SYSTEM
  ibrav = 0, nat = 9, ntyp = 4
/
ATOMIC_SPECIES
Nd 144.24 Nd.upf
Sm 150.36 Sm.upf
Al 26.98 Al.upf
Pd 106.42 Pd.upf
CELL_PARAMETERS angstrom
4.310 0.000 0.000
0.000 4.310 0.000
0.000 0.000 9.237
ATOMIC_POSITIONS angstrom
Nd 0.000 0.000 0.000
Sm 0.000 0.000 4.618
Al 2.155 2.155 3.295
Al 2.155 2.155 5.942
Pd 0.000 2.155 2.091
Pd 0.000 2.155 7.146
Pd 2.155 0.000 2.091
Pd 2.155 0.000 7.146
Pd 2.155 2.155 0.000
! DFT formation energy = -0.7998 eV per atom
! space group = P4/mmm


! KTi3Pb (PBE, relaxed); values from VASP
&SYSTEM
  ibrav = 0, nat = 5, ntyp = 3
/
ATOMIC_SPECIES
K 39.10 K.upf
Ti 47.87 Ti.upf
Pb 207.20 Pb.upf
CELL_PARAMETERS angstrom
5.437 0.000 0.000
0.000 5.437 0.000
0.000 0.000 5.437
ATOMIC_POSITIONS angstrom
K 0.000 0.000 0.000
Ti 0.000 2.718 2.718
Ti 2.718 0.000 2.718
Ti 2.718 2.718 0.000
Pb 2.718 2.718 2.718
! DFT formation energy = 1.1946 eV per atom
! space group = Pm-3m


no.,M_tot (Bohr magnetons per cell)
1,0.000
2,0.000
3,0.000
4,0.000
5,0.000
6,7.040